VASP calculation (PBE-GGA) on a geometry-optimized BaSb4Au structure.

## Properties
Size of the total moment in μB per formula unit: 0.000
Relative energy among the computed polymorphs in meV/atom: 0
Crystal system: monoclinic
ρ in g/cm³: 6.8
Symmetry: No. 15

Lattice parameters (Å, degrees): 6.0967 5.9330 11.9262 104.45 104.85 89.84
Last column: nearest neighbours and their distance in Å.
Sites, in units of the cell vectors:
Sb (0.2193, 0.2004, 0.4536)  1 Au 2.77, 1 Sb 2.97
Sb (0.3368, 0.7673, 0.0446)  1 Au 2.76, 1 Sb 3.01
Ba (0.8758, 0.6258, 0.2516)  8 Sb 3.60-3.90
Sb (0.7922, 0.7228, 0.9554)  1 Au 2.76, 1 Sb 3.01
Sb (0.6632, 0.2327, 0.9554)  1 Au 2.76, 1 Sb 3.01
Sb (0.2657, 0.7468, 0.5464)  1 Au 2.77, 1 Sb 2.97
Sb (0.2078, 0.2772, 0.0446)  1 Au 2.76, 1 Sb 3.01
Sb (0.7807, 0.7996, 0.5464)  1 Au 2.77, 1 Sb 2.97
Au (0.3747, 0.1247, 0.2494)  4 Sb 2.76-2.77
Ba (0.1242, 0.3742, 0.7484)  8 Sb 3.60-3.90
Au (0.6253, 0.8753, 0.7506)  4 Sb 2.76-2.77
Sb (0.7343, 0.2532, 0.4536)  1 Au 2.77, 1 Sb 2.97